CrHCl2 | GGA-PBE | optimized geometry

As for the space group: No. 122. The calculation puts the density of states at the Fermi level at 0.265 states/eV/atom. The magnetization is 5.00 μB/f.u. As for the total energy: -4.12 eV per atom.

Lattice parameters (Å, degrees): 5.347 5.347 6.399 65.31 65.31 90.00
Fractional coordinates of all 8 atoms:
H 0.500 0.500 0.000
Cl 0.577 0.125 0.250
H 0.250 0.750 0.500
Cl 0.875 0.827 0.750
Cr 0.000 0.000 0.000
Cr 0.750 0.250 0.500
Cl 0.375 0.423 0.750
Cl 0.173 0.625 0.250